Entry 1:
MoRuSN2: optimized geometry, PBE.

abc: 3.854 3.854 5.035
angles: 90.00 90.00 90.00
Fractional positions:
Ru: 0.500 0.500 0.500
N: 0.000 0.500 0.000
N: 0.500 0.000 0.000
Mo: 0.000 0.000 0.000
S: 0.000 0.000 0.500

Output
- uncorrected energy (eV per atom) = -7.28
- D(E_F) (states/eV/atom) = 0.787
- size of the total moment (μB per cell) = 3.052
- ρ (g/cm3) = 5.7
- formation energy (no corrections) (eV per atom) = 0.8950


Entry 2:
ZnF3: optimized geometry, PBE.

abc: 8.251 8.251 8.251
angles: 22.54 22.54 22.54
Fractional positions:
F: 0.500 0.500 0.500
F: 0.071 0.071 0.071
F: 0.929 0.929 0.929
Zn: 0.000 0.000 0.000

Output
- uncorrected energy (eV per atom) = -2.51
- D(E_F) (states/eV/atom) = 0.564
- size of the total moment (μB per cell) = 1.000
- ρ (g/cm3) = 2.8
- formation energy (no corrections) (eV per atom) = -0.7920


Entry 3:
MgSiO6F6: optimized geometry, PBE.

abc: 10.976 7.118 7.139
angles: 47.97 90.00 90.00
Fractional positions:
O: 0.233 0.131 0.412
O: 0.639 0.803 0.217
O: 0.733 0.869 0.088
O: 0.767 0.869 0.588
O: 0.693 0.025 0.573
O: 0.139 0.197 0.283
O: 0.193 0.975 0.927
O: 0.807 0.025 0.073
O: 0.861 0.803 0.717
O: 0.361 0.197 0.783
O: 0.267 0.131 0.912
O: 0.307 0.975 0.427
Si: 0.500 0.500 0.000
Si: 0.000 0.500 0.500
F: 0.523 0.633 0.688
F: 0.515 0.186 0.132
F: 0.977 0.633 0.188
F: 0.485 0.814 0.868
F: 0.649 0.510 0.034
F: 0.985 0.186 0.632
F: 0.149 0.490 0.466
F: 0.351 0.490 0.966
F: 0.851 0.510 0.534
F: 0.023 0.367 0.812
F: 0.015 0.814 0.368
F: 0.477 0.367 0.312
Mg: 0.000 0.000 0.000
Mg: 0.500 0.000 0.500

Output
- uncorrected energy (eV per atom) = -5.04
- size of the total moment (μB per cell) = 0.000
- ρ (g/cm3) = 2.1
- formation energy (no corrections) (eV per atom) = -1.6121


Entry 4:
Pu5Tc: optimized geometry, PBE.

abc: 5.289 4.023 7.187
angles: 106.26 90.00 90.00
Fractional positions:
Pu: 0.500 0.500 0.000
Pu: 0.500 0.836 0.672
Pu: 0.000 0.639 0.277
Pu: 0.000 0.361 0.723
Pu: 0.500 0.164 0.328
Tc: 0.000 0.000 0.000

Output
- uncorrected energy (eV per atom) = -13.41
- D(E_F) (states/eV/atom) = 4.688
- formation energy (eV per atom) = 0.2564
- size of the total moment (μB per cell) = 27.928
- ρ (g/cm3) = 14.9


size of the total moment of number 1 (MoRuSN2)? 3.052 μB per cell


What is the formula in the second record? ZnF3


The highest ρ belongs to which entry? Pu5Tc


The highest size of the total moment belongs to which entry? Pu5Tc